*w*
## DySb3 (GGA-PBE)

Data for DySb3 after structural relaxation.

The structure in extended XYZ format:
```
8
Lattice="4.467 0.000 0.000 0.000 4.467 0.000 0.000 0.000 10.850" Properties=species:S:1:pos:R:3 pbc="T T T"
Dy 0.000 0.000 0.000
Dy 2.234 2.234 5.425
Sb 0.000 0.000 5.425
Sb 0.000 2.234 2.713
Sb 0.000 2.234 8.138
Sb 2.234 0.000 2.713
Sb 2.234 0.000 8.138
Sb 2.234 2.234 0.000
```

---

*x*
## DySb3 (GGA-PBE)

Data for DySb3 after structural relaxation.

The structure in extended XYZ format:
```
8
Lattice="6.600 0.000 0.000 -3.300 5.716 0.000 0.000 0.000 5.751" Properties=species:S:1:pos:R:3 pbc="T T T"
Dy 0.000 3.811 1.438
Dy 3.300 1.905 4.313
Sb 0.000 2.003 4.313
Sb -1.565 4.714 4.313
Sb 1.735 1.002 1.438
Sb 1.565 4.714 4.313
Sb 4.865 1.002 1.438
Sb 3.300 3.713 1.438
```

---

Stability comparison, relative energies in kJ/mol of atoms: *w* 0.0; *x* 2.2